NbTcW: relaxed, PBE-GGA. Values from VASP.

Polymorph energy (0 for the lowest one) ... 57 meV/atom
Total magnetic moment ... 0.000 μB/atom
Formation energy from the elements ... -111 meV per atom

Geometry as Quantum ESPRESSO input:
```
&SYSTEM
  ibrav = 0, nat = 12, ntyp = 3
/
ATOMIC_SPECIES
W 183.84 W.upf
Tc 98.00 Tc.upf
Nb 92.91 Nb.upf
CELL_PARAMETERS angstrom
3.186 0.000 0.000
0.000 4.499 0.000
0.000 0.000 13.586
ATOMIC_POSITIONS angstrom
W 1.593 2.249 2.275
W 1.593 0.000 0.001
W 1.593 2.249 6.794
W 1.593 0.000 9.068
Tc 0.000 0.000 2.258
Tc 0.000 2.249 4.492
Tc 0.000 0.000 11.285
Tc 0.000 2.249 9.051
Nb 0.000 2.249 0.021
Nb 1.593 2.249 11.284
Nb 1.593 0.000 4.491
Nb 0.000 0.000 6.814
```

---

TaCdPt: relaxed, PBE-GGA. Values from VASP.

Total magnetic moment ... 0.000 μB/atom
Formation energy from the elements ... -234 meV per atom

Geometry as Quantum ESPRESSO input:
```
&SYSTEM
  ibrav = 0, nat = 3, ntyp = 3
/
ATOMIC_SPECIES
Cd 112.41 Cd.upf
Ta 180.95 Ta.upf
Pt 195.08 Pt.upf
CELL_PARAMETERS angstrom
-4.793 1.005 4.471
-6.282 0.166 2.113
-0.352 -2.645 1.166
ATOMIC_POSITIONS angstrom
Cd -0.399 -2.629 1.189
Ta -3.799 -1.419 2.907
Pt -7.582 -0.073 4.818
```

---

LiGa2Si: relaxed, PBE-GGA. Values from VASP.

Total magnetic moment ... 0.000 μB/atom
DFT total energy ... -3.380 eV per atom

Geometry as Quantum ESPRESSO input:
```
&SYSTEM
  ibrav = 0, nat = 4, ntyp = 3
/
ATOMIC_SPECIES
Ga 69.72 Ga.upf
Si 28.09 Si.upf
Li 6.94 Li.upf
CELL_PARAMETERS angstrom
-0.807 -2.657 -2.857
3.908 -0.885 -0.280
-0.448 -2.859 2.785
ATOMIC_POSITIONS angstrom
Ga 1.954 -0.442 -0.140
Ga -0.224 -1.430 1.393
Si -0.403 -1.329 -1.429
Li 1.327 -3.201 -0.176
```

---

Cr2AsSe: relaxed, PBE-GGA. Values from VASP.

Polymorph energy (0 for the lowest one) ... 894 meV/atom
Total magnetic moment ... 1.773 μB/atom

Geometry as Quantum ESPRESSO input:
```
&SYSTEM
  ibrav = 0, nat = 4, ntyp = 3
/
ATOMIC_SPECIES
As 74.92 As.upf
Cr 52.00 Cr.upf
Se 78.96 Se.upf
CELL_PARAMETERS angstrom
-2.789 0.247 -3.690
0.836 -2.636 -3.716
-2.817 -3.534 -1.014
ATOMIC_POSITIONS angstrom
As -2.385 -2.961 -4.210
Cr 0.000 0.000 0.000
Cr -1.192 -1.481 -2.105
Se -3.577 -4.442 -6.314
```

---

Number 2 is which compound?
TaCdPt

---

Number 4 is which compound?
Cr2AsSe